Record 1
VASP calculation (PBE-GGA) on an optimized crystal structure of Pr4GaS2Cl.

```
data_Pr4GaS2Cl
_symmetry_space_group_name_H-M 'P 1 2/m 1'
_symmetry_Int_Tables_number 10
_cell_length_a 7.305
_cell_length_b 4.084
_cell_length_c 7.354
_cell_angle_alpha 90.00
_cell_angle_beta 108.30
_cell_angle_gamma 90.00
loop_
_symmetry_equiv_pos_as_xyz
'x,y,z'
'-x,-y,-z'
'-x,y,-z'
'x,-y,z'
loop_
_atom_site_label
_atom_site_type_symbol
_atom_site_fract_x
_atom_site_fract_y
_atom_site_fract_z
Pr1 Pr 0.230 0.000 0.231
Pr2 Pr 0.235 0.500 0.750
Ga1 Ga 0.500 0.000 0.000
S1 S 0.000 0.000 0.500
S2 S 0.000 0.500 0.000
Cl1 Cl 0.500 0.500 0.500
```

Results
**Volume**: 208.3 Å³/f.u.
**Total magnetization**: 0.000 μB/atom
**ΔE_f (raw)**: -1.5298 eV/atom
**DFT total energy**: -5.5606 eV/atom



Record 2
VASP calculation (PBE-GGA) on an optimized crystal structure of LaGa4Pt2Au.

```
data_LaGa4Pt2Au
_symmetry_space_group_name_H-M 'R -3 m'
_symmetry_Int_Tables_number 166
_symmetry_space_group_name_Hall '-R 3 2"'
_cell_length_a 4.3270
_cell_length_b 4.3270
_cell_length_c 28.1793
_cell_angle_alpha 90.00
_cell_angle_beta 90.00
_cell_angle_gamma 120.00
loop_
_atom_site_label
_atom_site_type_symbol
_atom_site_fract_x
_atom_site_fract_y
_atom_site_fract_z
La1 La 0.0000 0.0000 0.0000
Ga1 Ga 0.0000 0.0000 0.1251
Ga2 Ga 0.0000 0.0000 0.3999
Pt1 Pt 0.0000 0.0000 0.2466
Au1 Au 0.0000 0.0000 0.5000
```

Results
**Volume**: 152.3 Å³/f.u.
**Total magnetization**: 0.000 μB/atom
**Energy of formation from the pure elements**: -0.6079 eV per atom
**DFT total energy**: -4.6571 eV/atom



Record 3
VASP calculation (PBE-GGA) on an optimized crystal structure of PuZnGa3Cu.

```
data_PuZnGa3Cu
_symmetry_space_group_name_H-M 'C m c m'
_symmetry_Int_Tables_number 63
_symmetry_space_group_name_Hall '-C 2c 2'
_cell_length_a 6.512
_cell_length_b 12.267
_cell_length_c 5.896
_cell_angle_alpha 90.00
_cell_angle_beta 90.00
_cell_angle_gamma 90.00
loop_
_atom_site_label
_atom_site_type_symbol
_atom_site_fract_x
_atom_site_fract_y
_atom_site_fract_z
Pu1 Pu 0.000 0.201 0.250
Zn1 Zn 0.000 0.433 0.250
Ga1 Ga 0.000 0.345 0.750
Ga2 Ga 0.200 0.000 0.000
Cu1 Cu 0.000 0.141 0.750
```

Results
**Volume**: 117.8 Å³/f.u.
**Total magnetization**: 1.021 μB/atom
**Energy of formation from the pure elements**: 0.0586 eV per atom
**DFT total energy**: -4.7386 eV/atom



Record 4
VASP calculation (PBE-GGA) on an optimized crystal structure of PrAgHg4.

```
data_PrAgHg4
_symmetry_space_group_name_H-M 'C m c 21'
_symmetry_Int_Tables_number 36
_cell_length_a 5.065
_cell_length_b 16.040
_cell_length_c 7.311
_cell_angle_alpha 90.00
_cell_angle_beta 90.00
_cell_angle_gamma 90.00
loop_
_symmetry_equiv_pos_as_xyz
'x,y,z'
'-x,-y,z+1/2'
'-x,y,z'
'x,-y,z+1/2'
'x+1/2,y+1/2,z'
'-x+1/2,-y+1/2,z+1/2'
'-x+1/2,y+1/2,z'
'x+1/2,-y+1/2,z+1/2'
loop_
_atom_site_label
_atom_site_type_symbol
_atom_site_fract_x
_atom_site_fract_y
_atom_site_fract_z
Pr1 Pr 0.000 0.173 0.000
Ag1 Ag 0.000 0.349 0.206
Hg1 Hg 0.000 0.016 0.699
Hg2 Hg 0.000 0.197 0.512
Hg3 Hg 0.000 0.352 0.797
Hg4 Hg 0.000 0.475 0.481
```

Results
**Volume**: 148.5 Å³/f.u.
**Total magnetization**: 0.000 μB/atom
**ΔE to the lowest computed polymorph**: 0.0000 eV/atom
**Energy of formation from the pure elements**: -0.2072 eV per atom
**DFT total energy**: -1.6801 eV/atom



Record 5
VASP calculation (PBE-GGA) on an optimized crystal structure of YPd2BrCl.

```
data_YPd2BrCl
_symmetry_space_group_name_H-M 'P 4/m m m'
_symmetry_Int_Tables_number 123
_symmetry_space_group_name_Hall '-P 4 2'
_cell_length_a 4.748
_cell_length_b 4.748
_cell_length_c 5.521
_cell_angle_alpha 90.00
_cell_angle_beta 90.00
_cell_angle_gamma 90.00
loop_
_atom_site_label
_atom_site_type_symbol
_atom_site_fract_x
_atom_site_fract_y
_atom_site_fract_z
Y1 Y 0.000 0.000 0.000
Pd1 Pd 0.000 0.500 0.500
Br1 Br 0.000 0.000 0.500
Cl1 Cl 0.500 0.500 0.000
```

Results
**Volume**: 124.5 Å³/f.u.
**Total magnetization**: 0.000 μB/atom
**ΔE_f (raw)**: -0.1352 eV/atom
**DFT total energy**: -4.2091 eV/atom



Record 6
VASP calculation (PBE-GGA) on an optimized crystal structure of CaZnCd4.

```
data_CaZnCd4
_symmetry_space_group_name_H-M 'C 1 2/m 1'
_symmetry_Int_Tables_number 12
_cell_length_a 14.603
_cell_length_b 6.695
_cell_length_c 6.320
_cell_angle_alpha 90.00
_cell_angle_beta 112.43
_cell_angle_gamma 90.00
loop_
_symmetry_equiv_pos_as_xyz
'x,y,z'
'-x,-y,-z'
'-x,y,-z'
'x,-y,z'
'x+1/2,y+1/2,z'
'-x+1/2,-y+1/2,-z'
'-x+1/2,y+1/2,-z'
'x+1/2,-y+1/2,z'
loop_
_atom_site_label
_atom_site_type_symbol
_atom_site_fract_x
_atom_site_fract_y
_atom_site_fract_z
Ca1 Ca 0.199 0.000 0.311
Zn1 Zn 0.069 0.500 0.371
Cd1 Cd 0.000 0.228 0.000
Cd2 Cd 0.113 0.220 0.706
Cd3 Cd 0.190 0.500 0.117
```

Results
**Volume**: 142.8 Å³/f.u.
**Total magnetization**: 0.000 μB/atom
**ΔE to the lowest computed polymorph**: 0.0544 eV/atom
**Energy of formation from the pure elements**: -0.1350 eV per atom
**DFT total energy**: -1.2910 eV/atom



Record 7
VASP calculation (PBE-GGA) on an optimized crystal structure of HoCu9Pd2.

```
data_HoCu9Pd2
_symmetry_space_group_name_H-M 'R -3 m'
_symmetry_Int_Tables_number 166
_symmetry_space_group_name_Hall '-R 3 2"'
_cell_length_a 4.9366
_cell_length_b 4.9366
_cell_length_c 23.6864
_cell_angle_alpha 90.00
_cell_angle_beta 90.00
_cell_angle_gamma 120.00
loop_
_atom_site_label
_atom_site_type_symbol
_atom_site_fract_x
_atom_site_fract_y
_atom_site_fract_z
Ho1 Ho 0.0000 0.0000 0.0000
Cu1 Cu 0.0000 0.0000 0.3341
Cu2 Cu 0.0000 0.0000 0.5000
Cu3 Cu 0.0054 0.5027 0.9139
Pd1 Pd 0.0000 0.0000 0.1447
```

Results
**Volume**: 166.6 Å³/f.u.
**Total magnetization**: 0.000 μB/atom
**Energy of formation from the pure elements**: -0.1635 eV per atom
**DFT total energy**: -4.4826 eV/atom



Record 8
VASP calculation (PBE-GGA) on an optimized crystal structure of Rb2BeTlO4.

```
data_Rb2BeTlO4
_symmetry_space_group_name_H-M 'F d d d'
_symmetry_Int_Tables_number 70
_cell_length_a 5.269
_cell_length_b 11.997
_cell_length_c 21.879
_cell_angle_alpha 90.00
_cell_angle_beta 90.00
_cell_angle_gamma 90.00
loop_
_symmetry_equiv_pos_as_xyz
'x,y,z'
'-x,-y,-z'
'-x+1/4,-y+1/4,z'
'x+1/4,y+1/4,-z'
'x,-y+1/4,-z+1/4'
'-x,y+1/4,z+1/4'
'-x+1/4,y,-z+1/4'
'x+1/4,-y,z+1/4'
'x,y+1/2,z+1/2'
'-x,-y+1/2,-z+1/2'
'-x+1/4,-y+3/4,z+1/2'
'x+1/4,y+3/4,-z+1/2'
'x,-y+3/4,-z+3/4'
'-x,y+3/4,z+3/4'
'-x+1/4,y+1/2,-z+3/4'
'x+1/4,-y+1/2,z+3/4'
'x+1/2,y,z+1/2'
'-x+1/2,-y,-z+1/2'
'-x+3/4,-y+1/4,z+1/2'
'x+3/4,y+1/4,-z+1/2'
'x+1/2,-y+1/4,-z+3/4'
'-x+1/2,y+1/4,z+3/4'
'-x+3/4,y,-z+3/4'
'x+3/4,-y,z+3/4'
'x+1/2,y+1/2,z'
'-x+1/2,-y+1/2,-z'
'-x+3/4,-y+3/4,z'
'x+3/4,y+3/4,-z'
'x+1/2,-y+3/4,-z+1/4'
'-x+1/2,y+3/4,z+1/4'
'-x+3/4,y+1/2,-z+1/4'
'x+3/4,-y+1/2,z+1/4'
loop_
_atom_site_label
_atom_site_type_symbol
_atom_site_fract_x
_atom_site_fract_y
_atom_site_fract_z
Rb1 Rb 0.125 0.125 0.305
Be1 Be 0.125 0.125 0.625
Tl1 Tl 0.125 0.125 0.125
O1 O 0.060 0.290 0.834
```

Results
**Volume**: 172.9 Å³/f.u.
**Total magnetization**: 0.127 μB/atom
**ΔE_f (raw)**: -1.1447 eV/atom
**DFT total energy**: -4.6273 eV/atom



Record 9
VASP calculation (PBE-GGA) on an optimized crystal structure of TaPb3.

```
data_TaPb3
_symmetry_space_group_name_H-M 'I 4/m m m'
_symmetry_Int_Tables_number 139
_symmetry_space_group_name_Hall '-I 4 2'
_cell_length_a 4.396
_cell_length_b 4.396
_cell_length_c 21.821
_cell_angle_alpha 90.00
_cell_angle_beta 90.00
_cell_angle_gamma 90.00
loop_
_atom_site_label
_atom_site_type_symbol
_atom_site_fract_x
_atom_site_fract_y
_atom_site_fract_z
Ta1 Ta 0.000 0.000 0.146
Pb1 Pb 0.000 0.000 0.378
Pb2 Pb 0.000 0.500 0.000
Pb3 Pb 0.000 0.500 0.250
```

Results
**Volume**: 105.4 Å³/f.u.
**Total magnetization**: 0.000 μB/atom
**Energy of formation from the pure elements**: 0.6760 eV per atom
**DFT total energy**: -5.0684 eV/atom



Record 10
VASP calculation (PBE-GGA) on an optimized crystal structure of TeP2Ir.

```
data_TeP2Ir
_symmetry_space_group_name_H-M 'P 1 m 1'
_symmetry_Int_Tables_number 6
_cell_length_a 4.163
_cell_length_b 3.880
_cell_length_c 5.257
_cell_angle_alpha 90.00
_cell_angle_beta 95.46
_cell_angle_gamma 90.00
loop_
_symmetry_equiv_pos_as_xyz
'x,y,z'
'x,-y,z'
loop_
_atom_site_label
_atom_site_type_symbol
_atom_site_fract_x
_atom_site_fract_y
_atom_site_fract_z
Te1 Te 0.000 0.000 0.000
P1 P 0.322 0.000 0.449
P2 P 0.651 0.500 0.466
Ir1 Ir 0.161 0.500 0.684
```

Results
**Volume**: 84.5 Å³/f.u.
**Total magnetization**: 0.000 μB/atom
**ΔE_f (raw)**: 0.0153 eV/atom
**DFT total energy**: -5.6903 eV/atom



Record 11
VASP calculation (PBE-GGA) on an optimized crystal structure of PaNbO6.

```
data_PaNbO6
_symmetry_space_group_name_H-M 'R -3'
_symmetry_Int_Tables_number 148
_symmetry_space_group_name_Hall '-R 3'
_cell_length_a 5.8737
_cell_length_b 5.8737
_cell_length_c 14.4187
_cell_angle_alpha 90.00
_cell_angle_beta 90.00
_cell_angle_gamma 120.00
loop_
_atom_site_label
_atom_site_type_symbol
_atom_site_fract_x
_atom_site_fract_y
_atom_site_fract_z
Pa1 Pa 0.0000 0.0000 0.0000
Nb1 Nb 0.0000 0.0000 0.5000
O1 O 0.0129 0.5046 0.2467
```

Results
**Volume**: 143.6 Å³/f.u.
**Total magnetization**: 0.258 μB/atom
**ΔE to the lowest computed polymorph**: 0.0000 eV/atom
**ΔE_f (raw)**: -2.3859 eV/atom
**DFT total energy**: -8.5503 eV/atom



Record 12
VASP calculation (PBE-GGA) on an optimized crystal structure of ErPtRhAu.

```
data_ErPtRhAu
_symmetry_space_group_name_H-M 'F -4 3 m'
_symmetry_Int_Tables_number 216
_symmetry_space_group_name_Hall 'F -4 2 3'
_cell_length_a 6.611
_cell_length_b 6.611
_cell_length_c 6.611
_cell_angle_alpha 90.00
_cell_angle_beta 90.00
_cell_angle_gamma 90.00
loop_
_atom_site_label
_atom_site_type_symbol
_atom_site_fract_x
_atom_site_fract_y
_atom_site_fract_z
Er1 Er 0.000 0.000 0.000
Pt1 Pt 0.250 0.250 0.750
Rh1 Rh 0.250 0.250 0.250
Au1 Au 0.000 0.000 0.500
```

Results
**Volume**: 72.2 Å³/f.u.
**Total magnetization**: 0.000 μB/atom
**ΔE to the lowest computed polymorph**: 0.1771 eV/atom
**Energy of formation from the pure elements**: -0.6386 eV per atom
**DFT total energy**: -5.9467 eV/atom